# KBi2Sb, optimized geometry, DFT PBE
# Symmetry: No. 122
# Formation energy without anion corrections, eV per atom: -0.046
# Spin magnetization, μB/atom: 0.00
data_KBi2Sb
_chemical_formula_sum 'K2 Bi4 Sb2'
_cell_length_a 9.3886
_cell_length_b 9.3886
_cell_length_c 7.4361
_cell_angle_alpha 50.85
_cell_angle_beta 50.85
_cell_angle_gamma 90.00
_symmetry_space_group_name_H-M 'P 1'
_symmetry_Int_Tables_number 1
_symmetry_space_group_name_Hall 'P 1'
loop_
_atom_site_label
_atom_site_fract_x
_atom_site_fract_y
_atom_site_fract_z
Bi1 0.8750 0.9213 0.7500
K1 0.5000 0.5000 0.0000
Bi2 0.3750 0.3287 0.7500
Sb1 0.7500 0.2500 0.5000
Bi3 0.0787 0.6250 0.2500
K2 0.2500 0.7500 0.5000
Sb2 0.0000 0.0000 0.0000
Bi4 0.6713 0.1250 0.2500



# K3BiSb, optimized geometry, DFT PBE
# Distance to the lowest polymorph of the same formula, eV per atom: 0.440
# Symmetry: No. 221
# Formation energy without anion corrections, eV per atom: 0.079
# Spin magnetization, μB/atom: 0.60
data_K3BiSb
_chemical_formula_sum 'K3 Bi1 Sb1'
_cell_length_a 6.6612
_cell_length_b 6.6612
_cell_length_c 6.6612
_cell_angle_alpha 90.00
_cell_angle_beta 90.00
_cell_angle_gamma 90.00
_symmetry_space_group_name_H-M 'P 1'
_symmetry_Int_Tables_number 1
_symmetry_space_group_name_Hall 'P 1'
loop_
_atom_site_label
_atom_site_fract_x
_atom_site_fract_y
_atom_site_fract_z
Bi1 0.5000 0.5000 0.5000
K1 0.0000 0.0000 0.5000
Sb1 0.0000 0.0000 0.0000
K2 0.5000 0.0000 0.0000
K3 0.0000 0.5000 0.0000



Short version: Fermi-level density of states = 5.3, 5.3 states/eV/cell, in the order given.
Short version: calculated total energy = -26.33, -10.90 eV/cell, in the order given.